First-principles (PBE) data for a relaxed K2MnCd crystal, as listed in Alexandria via LeMat-Bulk.

Unit cell a=3.7783 b=5.1209 c=7.5247 alpha=90.00 beta=90.29 gamma=90.00
Atoms (fractional coordinates):
K: 0.0000 0.0000 0.2491
K: 0.0000 0.0000 0.7509
Mn: 0.5000 0.5000 0.0000
Cd: 0.5000 0.5000 0.5000

## Properties
For the size of the total moment, the calculation gives 4.379 μB per formula unit. The calculation puts the formation energy from the elements at 56.8 kJ/mol of atoms. The density is 2.801 g cm⁻³.